No. 1
{
  "formula": "Nb2VFeGe",
  "functional": "PBE",
  "state": "optimized geometry",
  "lattice": [[4.701, 0.000, 0.000], [0.000, 4.701, 0.000], [0.000, 0.000, 4.125]],
  "species": ["Nb", "Nb", "V", "Fe", "Ge"],
  "frac_coords": [[0.000, 0.500, 0.000], [0.500, 0.000, 0.000], [0.000, 0.000, 0.000], [0.000, 0.000, 0.500], [0.500, 0.500, 0.500]],
  "total_energy_ev_per_cell": -37.6,
  "delta_e_f_mev_per_atom": 949,
  "sg": "No. 123",
  "density_g_cm3": 6.65
}

No. 2
{
  "formula": "Pa4TlS8",
  "functional": "PBE",
  "state": "optimized geometry",
  "lattice": [[0.000, 5.863, 5.863], [5.863, 0.000, 5.863], [5.863, 5.863, 0.000]],
  "species": ["Pa", "Pa", "Pa", "Pa", "Tl", "S", "S", "S", "S", "S", "S", "S", "S"],
  "frac_coords": [[0.123, 0.123, 0.123], [0.123, 0.123, 0.630], [0.123, 0.630, 0.123], [0.630, 0.123, 0.123], [0.500, 0.500, 0.500], [0.327, 0.891, 0.891], [0.356, 0.356, 0.356], [0.356, 0.356, 0.932], [0.356, 0.932, 0.356], [0.891, 0.327, 0.891], [0.891, 0.891, 0.327], [0.891, 0.891, 0.891], [0.932, 0.356, 0.356]],
  "total_energy_ev_per_cell": -91.4,
  "sg": "No. 216",
  "density_g_cm3": 5.71
}

No. 3
{
  "formula": "DyEr2Sc",
  "functional": "PBE",
  "state": "optimized geometry",
  "lattice": [[4.880, 0.000, 0.000], [0.000, 4.880, 0.000], [0.000, 0.000, 4.896]],
  "species": ["Dy", "Er", "Er", "Sc"],
  "frac_coords": [[0.000, 0.000, 0.000], [0.000, 0.500, 0.500], [0.500, 0.000, 0.500], [0.500, 0.500, 0.000]],
  "total_energy_ev_per_cell": -19.9,
  "delta_e_f_mev_per_atom": 42,
  "sg": "No. 123",
  "density_g_cm3": 7.72
}

No. 4
{
  "formula": "ErThOsSe",
  "functional": "PBE",
  "state": "optimized geometry",
  "lattice": [[3.542, -2.044, 0.000], [3.542, 2.044, 0.000], [-2.370, 0.000, 7.097]],
  "species": ["Er", "Th", "Os", "Se"],
  "frac_coords": [[0.000, 0.000, 0.000], [0.190, 0.190, 0.571], [0.594, 0.594, 0.781], [0.756, 0.756, 0.266]],
  "total_energy_ev_per_cell": -30.2,
  "sg": "No. 8",
  "density_g_cm3": 10.80
}

No. 5
{
  "formula": "B4C",
  "functional": "PBE",
  "state": "optimized geometry",
  "lattice": [[2.459, -1.421, 0.000], [2.459, 1.421, 0.000], [-1.646, 0.000, 4.574]],
  "species": ["B", "B", "B", "B", "C"],
  "frac_coords": [[0.000, 0.000, 0.000], [0.131, 0.131, 0.399], [0.517, 0.517, 0.559], [0.757, 0.757, 0.283], [0.636, 0.636, 0.906]],
  "total_energy_ev_per_cell": -34.4,
  "delta_e_f_mev_per_atom": 306,
  "sg": "No. 8",
  "density_g_cm3": 2.87
}

No. 6
{
  "formula": "Fe2NiI",
  "functional": "PBE",
  "state": "optimized geometry",
  "lattice": [[0.000, 3.040, 3.040], [3.040, 0.000, 3.040], [3.040, 3.040, 0.000]],
  "species": ["Fe", "Fe", "Ni", "I"],
  "frac_coords": [[0.250, 0.250, 0.250], [0.750, 0.750, 0.750], [0.000, 0.000, 0.000], [0.500, 0.500, 0.500]],
  "total_energy_ev_per_cell": -21.2,
  "sg": "No. 225",
  "density_g_cm3": 8.79
}

No. 7
{
  "formula": "SrSiTc2",
  "functional": "PBE",
  "state": "optimized geometry",
  "lattice": [[3.200, 0.000, 0.000], [0.000, 4.107, 0.000], [-1.334, 0.000, 6.306]],
  "species": ["Sr", "Si", "Tc", "Tc"],
  "frac_coords": [[0.000, 0.000, 0.000], [0.374, 0.500, 0.719], [0.330, 0.000, 0.494], [0.749, 0.500, 0.422]],
  "total_energy_ev_per_cell": -27.2,
  "sg": "No. 6",
  "density_g_cm3": 6.25
}

No. 8
{
  "formula": "Ac3La3Mg2",
  "functional": "PBE",
  "state": "optimized geometry",
  "lattice": [[9.491, 0.000, 0.000], [-4.745, 8.219, 0.000], [0.000, 0.000, 3.839]],
  "species": ["Ac", "Ac", "Ac", "La", "La", "La", "Mg", "Mg"],
  "frac_coords": [[0.000, 0.411, 0.000], [0.411, 0.000, 0.000], [0.589, 0.589, 0.000], [0.000, 0.769, 0.500], [0.231, 0.231, 0.500], [0.769, 0.000, 0.500], [0.333, 0.667, 0.500], [0.667, 0.333, 0.500]],
  "total_energy_ev_per_cell": -29.9,
  "delta_e_f_mev_per_atom": 56,
  "sg": "No. 189",
  "density_g_cm3": 6.36
}

No. 9
{
  "formula": "Na10B13C7",
  "functional": "PBE",
  "state": "optimized geometry",
  "lattice": [[7.212, -2.476, 0.000], [7.212, 2.476, 0.000], [-5.771, 0.000, 8.538]],
  "species": ["Na", "Na", "Na", "Na", "Na", "Na", "Na", "Na", "Na", "Na", "B", "B", "B", "B", "B", "B", "B", "B", "B", "B", "B", "B", "B", "C", "C", "C", "C", "C", "C", "C"],
  "frac_coords": [[0.001, 0.001, 0.253], [0.200, 0.196, 0.746], [0.201, 0.201, 0.252], [0.396, 0.401, 0.747], [0.404, 0.400, 0.254], [0.599, 0.604, 0.253], [0.600, 0.596, 0.746], [0.799, 0.799, 0.748], [0.804, 0.800, 0.254], [0.999, 0.999, 0.747], [0.035, 0.366, 0.500], [0.166, 0.834, 0.000], [0.232, 0.567, 0.000], [0.234, 0.565, 0.499], [0.370, 0.042, 0.000], [0.433, 0.768, 0.000], [0.435, 0.766, 0.501], [0.571, 0.212, 0.000], [0.634, 0.965, 0.500], [0.788, 0.429, 0.000], [0.815, 0.185, 0.000], [0.835, 0.165, 0.500], [0.958, 0.630, 0.000], [0.043, 0.361, 0.000], [0.168, 0.832, 0.500], [0.368, 0.032, 0.501], [0.568, 0.232, 0.499], [0.639, 0.957, 0.000], [0.768, 0.432, 0.501], [0.968, 0.632, 0.499]],
  "total_energy_ev_per_cell": -161.4,
  "delta_e_f_mev_per_atom": 106,
  "sg": "No. 5",
  "density_g_cm3": 2.48
}

No. 10
{
  "formula": "Ti4GaSi",
  "functional": "PBE",
  "state": "optimized geometry",
  "lattice": [[6.225, 0.000, 0.000], [0.000, 6.225, 0.000], [0.000, 0.000, 4.985]],
  "species": ["Ti", "Ti", "Ti", "Ti", "Ti", "Ti", "Ti", "Ti", "Ga", "Ga", "Si", "Si"],
  "frac_coords": [[0.147, 0.345, 0.000], [0.147, 0.655, 0.500], [0.345, 0.147, 0.500], [0.345, 0.853, 0.000], [0.655, 0.147, 0.000], [0.655, 0.853, 0.500], [0.853, 0.345, 0.500], [0.853, 0.655, 0.000], [0.500, 0.500, 0.250], [0.500, 0.500, 0.750], [0.000, 0.000, 0.250], [0.000, 0.000, 0.750]],
  "total_energy_ev_per_cell": -85.9,
  "sg": "No. 124",
  "density_g_cm3": 4.97
}

No. 11
{
  "formula": "Li2LaIr",
  "functional": "PBE",
  "state": "optimized geometry",
  "lattice": [[3.369, 0.000, 0.000], [0.000, 3.652, 0.000], [0.000, 0.000, 7.024]],
  "species": ["Li", "Li", "La", "Ir"],
  "frac_coords": [[0.000, 0.000, 0.000], [0.500, 0.500, 0.184], [0.000, 0.000, 0.584], [0.500, 0.500, 0.804]],
  "total_energy_ev_per_cell": -18.4,
  "delta_e_f_mev_per_atom": -199,
  "sg": "No. 25",
  "density_g_cm3": 6.63
}

Copy entry 5 word for word.
{
  "formula": "B4C",
  "functional": "PBE",
  "state": "optimized geometry",
  "lattice": [[2.459, -1.421, 0.000], [2.459, 1.421, 0.000], [-1.646, 0.000, 4.574]],
  "species": ["B", "B", "B", "B", "C"],
  "frac_coords": [[0.000, 0.000, 0.000], [0.131, 0.131, 0.399], [0.517, 0.517, 0.559], [0.757, 0.757, 0.283], [0.636, 0.636, 0.906]],
  "total_energy_ev_per_cell": -34.4,
  "delta_e_f_mev_per_atom": 306,
  "sg": "No. 8",
  "density_g_cm3": 2.87
}